No. 1
A plane-wave DFT calculation with GGA-PBE was carried out for a relaxed Al2FePt crystal.

Cell lengths 3.2515, 3.2515, 5.4219 Å; angles 90.00, 90.00, 90.00 degrees
With the nearest neighbours (Å) after each atom.
Fractional coordinates of all 4 atoms:
Fe1 0.0000 0.0000 0.4731  6 Al 2.54-2.77, 4 Pt 2.80
Pt1 0.5000 0.5000 0.7693  6 Al 2.58-2.74, 4 Fe 2.80
Al1 0.0000 0.0000 0.9837  4 Pt 2.58, 2 Fe 2.65-2.77, 4 Al 2.79
Al2 0.5000 0.5000 0.2739  4 Fe 2.54, 2 Pt 2.69-2.74, 4 Al 2.79

Computed properties:
- energy of formation from the pure elements (eV per atom) = -0.446
- N(E_F) (states/eV per atom) = 0.8374
- electronic total energy (eV/atom) = -5.943

No. 2
A plane-wave DFT calculation with GGA-PBE was carried out for a relaxed AlFe2Pt crystal.

Cell lengths 3.0069, 3.0069, 5.8116 Å; angles 90.00, 90.00, 90.00 degrees
With the nearest neighbours (Å) after each atom.
Fractional coordinates of all 4 atoms:
Fe1 0.0000 0.0000 0.0096  4 Fe 2.45, 4 Al 2.56
Fe2 0.5000 0.5000 0.2203  4 Fe 2.45, 1 Al 2.65, 4 Pt 2.69
Pt1 0.0000 0.0000 0.5050  4 Al 2.61, 5 Fe 2.69-2.88
Al1 0.5000 0.5000 0.7651  5 Fe 2.56-2.65, 4 Pt 2.61

Computed properties:
- energy of formation from the pure elements (eV per atom) = -0.413
- N(E_F) (states/eV per atom) = 0.4833
- electronic total energy (eV/atom) = -7.090

No. 3
A plane-wave DFT calculation with GGA-PBE was carried out for a relaxed AlFe2Pt crystal.

Cell lengths 4.8021, 4.8021, 4.8021 Å; angles 135.63, 135.63, 64.55 degrees
With the nearest neighbours (Å) after each atom.
Fractional coordinates of all 4 atoms:
Fe1 0.0000 0.0000 0.0000  4 Fe 2.56, 4 Pt 2.72, 4 Al 2.72
Fe2 0.5000 0.5000 0.0000  4 Fe 2.56, 4 Al 2.72, 4 Pt 2.72
Pt1 0.2500 0.7500 0.5000  4 Al 2.56, 8 Fe 2.72
Al1 0.7500 0.2500 0.5000  4 Pt 2.56, 8 Fe 2.72

Computed properties:
- energy of formation from the pure elements (eV per atom) = -0.404
- N(E_F) (states/eV per atom) = 0.8555
- electronic total energy (eV/atom) = -7.081

No. 4
A plane-wave DFT calculation with GGA-PBE was carried out for a relaxed Al2FePt9 crystal.

Cell lengths 3.9233, 3.9233, 11.7467 Å; angles 90.00, 90.00, 90.00 degrees
With the nearest neighbours (Å) after each atom.
Fractional coordinates of all 12 atoms:
Al1 0.0000 0.0000 0.3333  12 Pt 2.77-2.78
Al2 0.0000 0.0000 0.6667  12 Pt 2.77-2.78
Fe1 0.0000 0.0000 0.0000  12 Pt 2.76-2.77
Pt1 0.5000 0.5000 0.0000  8 Pt 2.76, 4 Fe 2.77
Pt2 0.5000 0.5000 0.3333  8 Pt 2.77-2.78, 4 Al 2.77
Pt3 0.5000 0.5000 0.6667  8 Pt 2.77-2.78, 4 Al 2.77
Pt4 0.5000 0.0000 0.1657  8 Pt 2.76-2.78, 2 Fe 2.76, 2 Al 2.78
Pt5 0.5000 0.0000 0.5000  4 Al 2.77, 8 Pt 2.77
Pt6 0.5000 0.0000 0.8343  8 Pt 2.76-2.78, 2 Fe 2.76, 2 Al 2.78
Pt7 0.0000 0.5000 0.1657  8 Pt 2.76-2.78, 2 Fe 2.76, 2 Al 2.78
Pt8 0.0000 0.5000 0.5000  4 Al 2.77, 8 Pt 2.77
Pt9 0.0000 0.5000 0.8343  8 Pt 2.76-2.78, 2 Fe 2.76, 2 Al 2.78

Computed properties:
- energy of formation from the pure elements (eV per atom) = -0.537
- N(E_F) (states/eV per atom) = 0.8443
- electronic total energy (eV/atom) = -6.397

No. 5
A plane-wave DFT calculation with GGA-PBE was carried out for a relaxed AlFe3Pt4 crystal.

Cell lengths 3.7135, 3.9126, 7.8189 Å; angles 90.00, 90.00, 90.00 degrees
With the nearest neighbours (Å) after each atom.
Fractional coordinates of all 8 atoms:
Al1 0.5000 0.5000 0.0000  8 Pt 2.70, 4 Fe 2.83
Pt1 0.0000 0.0000 0.5000  8 Fe 2.63-2.70, 4 Pt 2.76
Pt2 0.0000 0.5000 0.7497  6 Fe 2.69-2.70, 2 Al 2.70, 4 Pt 2.76-2.77
Pt3 0.0000 0.0000 0.0000  4 Al 2.70, 4 Fe 2.76, 4 Pt 2.77
Pt4 0.0000 0.5000 0.2503  6 Fe 2.69-2.70, 2 Al 2.70, 4 Pt 2.76-2.77
Fe1 0.5000 0.0000 0.2619  8 Pt 2.63-2.76, 2 Fe 2.70, 2 Al 2.83
Fe2 0.5000 0.5000 0.5000  8 Pt 2.69-2.70, 4 Fe 2.70
Fe3 0.5000 0.0000 0.7381  8 Pt 2.63-2.76, 2 Fe 2.70, 2 Al 2.83

Computed properties:
- energy of formation from the pure elements (eV per atom) = -0.435
- N(E_F) (states/eV per atom) = 0.6442
- electronic total energy (eV/atom) = -7.097

No. 6
A plane-wave DFT calculation with GGA-PBE was carried out for a relaxed AlFePt6 crystal.

Cell lengths 3.9213, 3.9213, 7.8313 Å; angles 90.00, 90.00, 90.00 degrees
With the nearest neighbours (Å) after each atom.
Fractional coordinates of all 8 atoms:
Al1 0.0000 0.0000 0.0000  12 Pt 2.77-2.78
Fe1 0.0000 0.0000 0.5000  12 Pt 2.76-2.77
Pt1 0.5000 0.5000 0.0000  4 Al 2.77, 8 Pt 2.78
Pt2 0.5000 0.5000 0.5000  8 Pt 2.76, 4 Fe 2.77
Pt3 0.5000 0.0000 0.2515  2 Fe 2.76, 8 Pt 2.76-2.78, 2 Al 2.78
Pt4 0.5000 0.0000 0.7485  2 Fe 2.76, 8 Pt 2.76-2.78, 2 Al 2.78
Pt5 0.0000 0.5000 0.2515  2 Fe 2.76, 8 Pt 2.76-2.78, 2 Al 2.78
Pt6 0.0000 0.5000 0.7485  2 Fe 2.76, 8 Pt 2.76-2.78, 2 Al 2.78

Computed properties:
- energy of formation from the pure elements (eV per atom) = -0.453
- N(E_F) (states/eV per atom) = 0.9401
- electronic total energy (eV/atom) = -6.510

No. 7
A plane-wave DFT calculation with GGA-PBE was carried out for a relaxed Al4FePt crystal.

Cell lengths 5.0047, 5.0047, 5.0047 Å; angles 60.00, 60.00, 60.00 degrees
With the nearest neighbours (Å) after each atom.
Fractional coordinates of all 6 atoms:
Al1 0.8745 0.3752 0.3752  6 Al 2.50-2.51
Al2 0.3752 0.3752 0.8745  6 Al 2.50-2.51
Al3 0.3752 0.8745 0.3752  6 Al 2.50-2.51
Al4 0.3752 0.3752 0.3752  6 Al 2.50-2.51
Fe1 0.7500 0.7500 0.7500  12 Al 2.93, 4 Pt 3.06
Pt1 0.0000 0.0000 0.0000  12 Al 2.93, 4 Fe 3.06

Computed properties:
- energy of formation from the pure elements (eV per atom) = 0.059
- N(E_F) (states/eV per atom) = 0.6675
- electronic total energy (eV/atom) = -4.853

No. 8
A plane-wave DFT calculation with GGA-PBE was carried out for a relaxed AlFePt3 crystal.

Cell lengths 4.5868, 4.5868, 4.5868 Å; angles 90.00, 90.00, 90.00 degrees
With the nearest neighbours (Å) after each atom.
Fractional coordinates of all 5 atoms:
Fe1 0.0000 0.0000 0.0000  6 Pt 2.29
Pt1 0.0000 0.5000 0.0000  2 Fe 2.29
Pt2 0.0000 0.0000 0.5000  2 Fe 2.29
Pt3 0.5000 0.0000 0.0000  2 Fe 2.29
Al1 0.5000 0.5000 0.5000  12 Pt 3.24

Computed properties:
- energy of formation from the pure elements (eV per atom) = 0.737
- N(E_F) (states/eV per atom) = 1.0222
- electronic total energy (eV/atom) = -5.328
- E above lowest polymorph (eV/f.u.) = 6.484

No. 9
A plane-wave DFT calculation with GGA-PBE was carried out for a relaxed Al2Fe2Pt crystal.

Cell lengths 3.6059, 3.6059, 6.2091 Å; angles 73.12, 73.12, 90.00 degrees
With the nearest neighbours (Å) after each atom.
Fractional coordinates of all 5 atoms:
Fe1 0.4038 0.4038 0.1924  1 Fe 2.18
Fe2 0.5962 0.5962 0.8076  1 Fe 2.18
Pt1 0.0000 0.0000 0.0000  8 Fe 2.77
Al1 0.7500 0.2500 0.5000  4 Fe 2.51, 4 Al 2.55
Al2 0.2500 0.7500 0.5000  4 Fe 2.51, 4 Al 2.55

Computed properties:
- energy of formation from the pure elements (eV per atom) = 0.168
- N(E_F) (states/eV per atom) = 0.7826
- electronic total energy (eV/atom) = -5.922
- E above lowest polymorph (eV/f.u.) = 2.223

No. 10
A plane-wave DFT calculation with GGA-PBE was carried out for a relaxed Al2Fe2Pt crystal.

Cell lengths 6.6068, 6.6068, 3.1230 Å; angles 90.00, 90.00, 90.00 degrees
With the nearest neighbours (Å) after each atom.
Fractional coordinates of all 10 atoms:
Fe1 0.1590 0.6590 0.5000  6 Al 2.45-2.51
Fe2 0.6590 0.8410 0.5000  6 Al 2.45-2.51
Fe3 0.8410 0.3410 0.5000  6 Al 2.45-2.51
Fe4 0.3410 0.1590 0.5000  6 Al 2.45-2.51
Pt1 0.0000 0.0000 0.0000  4 Al 2.56
Pt2 0.5000 0.5000 0.0000  4 Al 2.56
Al1 0.3616 0.8616 0.0000  6 Fe 2.45-2.51, 2 Pt 2.56, 1 Al 2.59
Al2 0.8616 0.6384 0.0000  6 Fe 2.45-2.51, 2 Pt 2.56, 1 Al 2.59
Al3 0.6384 0.1384 0.0000  6 Fe 2.45-2.51, 2 Pt 2.56, 1 Al 2.59
Al4 0.1384 0.3616 0.0000  6 Fe 2.45-2.51, 2 Pt 2.56, 1 Al 2.59

Computed properties:
- energy of formation from the pure elements (eV per atom) = -0.247
- N(E_F) (states/eV per atom) = 0.5953
- electronic total energy (eV/atom) = -6.338
- E above lowest polymorph (eV/f.u.) = 0.145